## NpTiSb2 (PBE-GGA)

Data for a relaxed structure of NpTiSb2.

Summary:
The energy relative to the lowest polymorph listed for this composition is 0.72 eV/f.u. The total energy is -7.41 eV/atom. The formation energy without anion corrections comes out at -0.566 eV per formula unit.

Lattice parameters (Å, degrees): 3.9670 4.8473 4.8473 90.00 90.00 90.00
Last column: nearest neighbours and their distance in Å.
Element x y z (fractional)
Np  0.5000  0.0000  0.0000  8 Sb 3.13, 4 Ti 3.43
Sb  0.0000  0.0000  0.5000  4 Np 3.13, 4 Ti 3.13, 4 Sb 3.43
Sb  0.0000  0.5000  0.0000  4 Ti 3.13, 4 Np 3.13, 4 Sb 3.43
Ti  0.5000  0.5000  0.5000  8 Sb 3.13, 4 Np 3.43